LiMgTa4N8 | GGA-PBE | optimized geometry

abc: 6.281 6.281 6.181
angles: 59.46 59.46 60.00
Positions (direct):
1 Li 0.999 0.999 0.002
2 Mg 0.378 0.378 0.867
3 Ta 0.620 0.620 0.140
4 Ta 0.003 0.483 0.512
5 Ta 0.483 0.003 0.512
6 Ta 0.003 0.003 0.512
7 N 0.252 0.784 0.713
8 N 0.784 0.252 0.713
9 N 0.252 0.252 0.713
10 N 0.240 0.240 0.280
11 N 0.747 0.238 0.268
12 N 0.238 0.747 0.268
13 N 0.747 0.747 0.268
14 N 0.756 0.756 0.733

## Properties
The calculation puts the magnetic moment at 0.0 μB per formula unit. The calculation puts the formation energy from raw total energies at -0.836 eV/atom.